GdPaAu2 (PBE, relaxed); space group = Fm-3m (225); ΔE to the lowest computed polymorph = 45 meV/atom; E = -31.90 eV per formula unit
1.0
5.1271 0.0000 0.0000
2.5635 4.4402 0.0000
2.5635 1.4801 4.1862
Au Gd Pa
2 1 1
direct
0.2500 0.2500 0.2500
0.7500 0.7500 0.7500
0.0000 0.0000 0.0000
0.5000 0.5000 0.5000

TaV2SnH (PBE, relaxed); space group = P4/mmm (123); E = -37.80 eV per formula unit
1.0
4.0967 0.0000 0.0000
0.0000 4.0967 0.0000
0.0000 0.0000 4.0254
H Ta V Sn
1 1 2 1
direct
0.0000 0.0000 0.0000
0.0000 0.0000 0.5000
0.0000 0.5000 0.0000
0.5000 0.0000 0.0000
0.5000 0.5000 0.5000

Ca4N2F (PBE, relaxed); space group = I4/mmm (139); energy relative to the elements, uncorrected = -0.946 eV per atom; ΔE to the lowest computed polymorph = 344 meV/atom; E = -33.15 eV per formula unit
1.0
4.4657 0.0000 0.0000
0.0000 4.4657 0.0000
2.2328 2.2328 6.5228
Ca F N
4 1 2
direct
0.7855 0.7855 0.4291
0.2145 0.2145 0.5709
0.0000 0.5000 0.0000
0.5000 0.0000 0.0000
0.0000 0.0000 0.0000
0.3820 0.3820 0.2361
0.6180 0.6180 0.7639

AsPtPb (PBE, relaxed); space group = P3m1 (156); ΔE to the lowest computed polymorph = 91 meV/atom; E = -15.05 eV per formula unit
1.0
4.2584 0.0000 0.0000
-2.1292 3.6879 0.0000
0.0000 0.0000 4.4756
Pb Pt As
1 1 1
direct
0.6667 0.3333 0.3358
0.3333 0.6667 0.8289
0.0000 0.0000 0.8352

Li2PmY (PBE, relaxed); space group = P4/mmm (123); ΔE to the lowest computed polymorph = 0 meV/atom; E = -14.49 eV per formula unit
1.0
3.7525 0.0000 0.0000
0.0000 3.7525 0.0000
0.0000 0.0000 7.5599
Y Li Pm
1 2 1
direct
0.5000 0.5000 0.0000
0.0000 0.0000 0.7530
0.0000 0.0000 0.2470
0.5000 0.5000 0.5000

LaSc2CdCo (PBE, relaxed); space group = P4/mmm (123); ΔE to the lowest computed polymorph = 0 meV/atom; E = -26.17 eV per formula unit
1.0
-1.0839 -1.7062 4.3959
-1.4571 -4.1686 -1.9773
4.7690 -1.8788 0.4466
Cd La Co Sc
1 1 1 2
direct
0.0000 0.0000 0.5000
0.5000 0.5000 0.5000
0.0000 0.0000 0.0000
0.0000 0.5000 0.0000
0.5000 0.0000 0.0000

Pm5Hg4Pb (PBE, relaxed); space group = P4/mmm (123); E = -33.48 eV per formula unit
1.0
3.7993 0.0000 0.0000
0.0000 3.7993 0.0000
0.0000 0.0000 19.5160
Pm Hg Pb
5 4 1
direct
0.5000 0.5000 0.1076
0.5000 0.5000 0.5000
0.5000 0.5000 0.8924
0.5000 0.5000 0.6962
0.5000 0.5000 0.3038
0.0000 0.0000 0.7925
0.0000 0.0000 0.5996
0.0000 0.0000 0.2075
0.0000 0.0000 0.4004
0.0000 0.0000 0.0000

Sc2Be2CuPd5 (PBE, relaxed); space group = P4/mbm (127); E = -56.92 eV per formula unit
1.0
-0.7152 -0.3925 3.2851
-6.1153 -6.6369 -2.1244
6.6876 -6.3839 0.6932
Cu Pd Be Sc
2 10 4 4
direct
0.0000 0.5000 0.5000
0.0000 0.0000 0.0000
0.5000 0.2915 0.5712
0.5000 0.9288 0.2085
0.5000 0.4288 0.2915
0.5000 0.0000 0.5000
0.5000 0.7915 0.9288
0.5000 0.5712 0.7085
0.5000 0.0712 0.7915
0.5000 0.5000 0.0000
0.5000 0.2085 0.0712
0.5000 0.7085 0.4288
0.0000 0.1234 0.6234
0.0000 0.8766 0.3766
0.0000 0.3766 0.1234
0.0000 0.6234 0.8766
0.0000 0.8235 0.6765
0.0000 0.3235 0.8235
0.0000 0.6765 0.1765
0.0000 0.1765 0.3235

Ru2WIBr (PBE, relaxed); space group = P4/mmm (123); energy relative to the elements, uncorrected = 1.969 eV per atom; E = -24.88 eV per formula unit
1.0
4.6648 0.0000 0.0000
0.0000 4.7070 0.0000
0.0000 0.0000 4.6648
I W Br Ru
1 1 1 2
direct
0.5000 0.5000 0.5000
0.0000 0.5000 0.0000
0.0000 0.0000 0.0000
0.0000 0.0000 0.5000
0.5000 0.0000 0.0000

LiAu2S2 (PBE, relaxed); space group = C2/m (12); energy relative to the elements, uncorrected = -0.300 eV per atom; E = -18.23 eV per formula unit
1.0
4.8134 -0.2723 0.5761
-0.1706 4.8181 0.5761
0.6918 0.6774 4.9317
Au S Li
2 2 1
direct
0.0000 0.5000 0.5000
0.5000 0.0000 0.5000
0.7116 0.7116 0.8068
0.2884 0.2884 0.1932
0.0000 0.0000 0.0000

CoW3 (PBE, relaxed); space group = Immm (71); ΔE to the lowest computed polymorph = 129 meV/atom; E = -45.11 eV per formula unit
1.0
5.0664 0.0123 0.0014
2.1440 4.5904 -0.0014
-3.1667 -2.9884 2.5905
W Co
3 1
direct
0.0000 0.5000 0.5000
0.7521 0.7521 0.0000
0.2479 0.2479 0.0000
0.5000 0.0000 0.5000

ErSiS4 (PBE, relaxed); space group = P2_1/m (11); energy relative to the elements, uncorrected = -0.994 eV per atom; E = -32.46 eV per formula unit
1.0
-3.3788 -4.3342 0.2077
4.0044 1.2304 5.3778
-6.2286 5.0228 3.4887
Si S Er
2 8 2
direct
0.8829 0.0661 0.7500
0.1171 0.9339 0.2500
0.5961 0.7208 0.7500
0.8569 0.2666 0.5687
0.1431 0.7334 0.0687
0.2850 0.1020 0.7500
0.1431 0.7334 0.4313
0.4039 0.2792 0.2500
0.7150 0.8980 0.2500
0.8569 0.2666 0.9313
0.9535 0.3539 0.2500
0.0465 0.6461 0.7500

Er4BiTe3 (PBE, relaxed); space group = Cmmm (65); energy relative to the elements, uncorrected = -1.123 eV per atom; E = -40.54 eV per formula unit
1.0
-2.5697 0.4447 3.4779
4.5775 -4.4892 3.9562
2.2513 7.1504 0.7490
Er Te Bi
4 3 1
direct
0.0000 0.2524 0.2524
0.5000 0.7483 0.2517
0.5000 0.2517 0.7483
0.0000 0.7476 0.7476
0.0000 0.5000 0.0000
0.0000 0.0000 0.5000
0.5000 0.5000 0.5000
0.5000 0.0000 0.0000

Pr3Y12Zn5 (PBE, relaxed); space group = Ia-3d (230); E = -88.83 eV per formula unit
1.0
-3.3076 -14.2639 4.6121
-1.6579 0.9670 -15.2312
14.4872 3.3751 3.7950
Y Zn Pr
48 20 12
direct
0.9650 0.5775 0.1732
0.5957 0.7082 0.6732
0.3268 0.7918 0.4043
0.7082 0.5957 0.1732
0.8268 0.9225 0.0350
0.3875 0.9650 0.7918
0.6125 0.0350 0.2082
0.4225 0.0350 0.3268
0.1125 0.7082 0.5350
0.4650 0.6732 0.0775
0.9043 0.8268 0.7918
0.6732 0.4650 0.5775
0.1732 0.0957 0.7082
0.6125 0.5775 0.9043
0.0775 0.1732 0.4650
0.9225 0.0957 0.8875
0.5775 0.6125 0.4043
0.4225 0.3875 0.5957
0.0350 0.6125 0.7082
0.9650 0.3875 0.2918
0.9225 0.8268 0.5350
0.7918 0.3268 0.9043
0.8268 0.9043 0.2918
0.2082 0.5350 0.6125
0.0957 0.1732 0.2082
0.2082 0.6732 0.0957
0.5350 0.3268 0.9225
0.3268 0.5350 0.4225
0.4043 0.2918 0.3268
0.5350 0.2082 0.1125
0.7082 0.1125 0.0350
0.8875 0.2918 0.4650
0.0775 0.9043 0.1125
0.1125 0.4043 0.0775
0.0350 0.4225 0.8268
0.4650 0.7918 0.8875
0.3875 0.4225 0.0957
0.4043 0.1125 0.5775
0.9043 0.0775 0.6125
0.5775 0.9650 0.6732
0.8875 0.5957 0.9225
0.2918 0.4043 0.8268
0.2918 0.8875 0.9650
0.0957 0.9225 0.3875
0.6732 0.2082 0.5957
0.5957 0.8875 0.4225
0.1732 0.0775 0.9650
0.7918 0.4650 0.3875
0.3750 0.1250 0.7500
0.2500 0.8750 0.1250
0.0000 0.5000 0.5000
0.1250 0.7500 0.3750
0.6250 0.7500 0.8750
0.8750 0.2500 0.6250
0.7500 0.1250 0.8750
0.5000 0.5000 0.0000
0.2500 0.3750 0.6250
0.1250 0.3750 0.2500
0.7500 0.6250 0.3750
0.0000 0.5000 0.0000
0.0000 0.0000 0.5000
0.5000 0.5000 0.5000
0.8750 0.6250 0.7500
0.0000 0.0000 0.0000
0.3750 0.2500 0.1250
0.6250 0.8750 0.2500
0.5000 0.0000 0.0000
0.5000 0.0000 0.5000
0.8750 0.1250 0.2500
0.8750 0.7500 0.1250
0.1250 0.8750 0.7500
0.7500 0.8750 0.6250
0.1250 0.2500 0.8750
0.2500 0.6250 0.8750
0.6250 0.3750 0.7500
0.3750 0.7500 0.6250
0.3750 0.6250 0.2500
0.7500 0.3750 0.1250
0.6250 0.2500 0.3750
0.2500 0.1250 0.3750

LaPuIrPd (PBE, relaxed); space group = F-43m (216); E = -35.50 eV per formula unit
1.0
-1.1271 4.8179 0.8653
-2.7276 2.5797 -3.3371
-4.7216 1.3169 1.0969
Pu La Ir Pd
1 1 1 1
direct
0.7500 0.7500 0.7500
0.2500 0.2500 0.2500
0.0000 0.0000 0.0000
0.5000 0.5000 0.5000

Dy2ZnTe (PBE, relaxed); space group = R-3m (166); energy relative to the elements, uncorrected = -0.754 eV per atom; ΔE to the lowest computed polymorph = 59 meV/atom; E = -16.64 eV per formula unit
1.0
4.0996 0.0000 0.0000
2.0498 3.5504 0.0000
2.0498 1.1835 7.5111
Dy Zn Te
2 1 1
direct
0.2537 0.2537 0.2390
0.7463 0.7463 0.7610
0.0000 0.0000 0.0000
0.5000 0.5000 0.5000

GaFeReH (PBE, relaxed); space group = R3m (160); ΔE to the lowest computed polymorph = 76 meV/atom; E = -26.82 eV per formula unit
1.0
-0.5368 2.7079 0.4990
-1.8737 -1.9581 0.7245
8.6039 -1.5988 17.9310
H Ga Re Fe
3 3 3 3
direct
0.3333 0.6667 0.4084
0.6667 0.3333 0.0750
0.0000 0.0000 0.7417
0.3333 0.6667 0.8300
0.6667 0.3333 0.4967
0.0000 0.0000 0.1634
0.3333 0.6667 0.6919
0.0000 0.0000 0.0252
0.6667 0.3333 0.3586
0.6667 0.3333 0.9271
0.0000 0.0000 0.5938
0.3333 0.6667 0.2604

LiTbSmRe (PBE, relaxed); space group = F-43m (216); E = -23.28 eV per formula unit
1.0
4.9702 0.0000 0.0000
2.4851 4.3043 0.0000
2.4851 1.4348 4.0581
Sm Li Re Tb
1 1 1 1
direct
0.2500 0.2500 0.2500
0.0000 0.0000 0.0000
0.5000 0.5000 0.5000
0.7500 0.7500 0.7500

Li2Ac2Sb2O (PBE, relaxed); space group = I4/mmm (139); energy relative to the elements, uncorrected = -1.445 eV per atom; E = -35.36 eV per formula unit
1.0
4.7470 0.0000 0.0000
0.0000 4.7470 0.0000
-2.3735 -2.3735 8.1668
Li Ac O Sb
2 2 1 2
direct
0.5000 0.0000 0.0000
0.0000 0.5000 0.0000
0.1472 0.1472 0.2944
0.8528 0.8528 0.7056
0.0000 0.0000 0.0000
0.3692 0.3692 0.7384
0.6308 0.6308 0.2616

HoTmPu2 (PBE, relaxed); space group = P4/mmm (123); ΔE to the lowest computed polymorph = 3 meV/atom; E = -37.06 eV per formula unit
1.0
-0.2436 2.5379 4.3106
-4.0260 -2.3220 1.1396
2.5761 -3.4098 2.1531
Pu Tm Ho
2 1 1
direct
0.0000 0.5000 0.0000
0.0000 0.0000 0.5000
0.5000 0.5000 0.5000
0.5000 0.0000 0.0000